No. 1
The following is a DFT calculation (GGA-PBE) of crystalline Mn3V3Cr at its relaxed geometry.

Structure (POSCAR):
```
Mn3V3Cr
1.0
3.956 -4.024 0.000
3.956 4.024 0.000
0.000 0.000 5.532
Mn V Cr
6 6 2
Cartesian
0.000 0.000 1.359
0.000 0.000 4.173
1.978 2.012 1.373
1.978 2.012 4.159
1.978 -2.012 1.373
1.978 -2.012 4.159
1.873 0.000 2.766
3.956 1.731 2.766
2.379 0.000 0.000
5.534 0.000 0.000
3.956 -1.731 2.766
6.040 0.000 2.766
3.956 2.164 0.000
3.956 -2.164 0.000
```

Properties
space group: No. 65
D(E_F): 0.76 states/eV/atom
theoretical density: 6.97 g cm⁻³
total magnetic moment: 0.0 μB per cell
uncorrected energy: -9.15 eV/atom

---

No. 2
The following is a DFT calculation (GGA-PBE) of crystalline MnV6Cr at its relaxed geometry.

Structure (POSCAR):
```
MnV6Cr
1.0
4.171 0.000 0.000
0.000 5.911 0.000
0.000 0.000 8.279
Mn V Cr
2 12 2
Cartesian
0.000 0.000 0.000
0.000 2.956 4.139
0.000 0.000 4.114
0.000 1.450 6.206
0.000 1.506 2.067
0.000 2.956 8.253
0.000 4.406 2.067
0.000 4.461 6.206
2.085 0.000 2.093
2.085 1.443 8.272
2.085 1.512 4.132
2.085 2.956 6.232
2.085 4.399 4.132
2.085 4.468 8.272
2.085 0.000 6.191
2.085 2.956 2.052
```

Properties
relative energy among the computed polymorphs: 0.00 eV/f.u.
space group: No. 38
D(E_F): 1.42 states/eV/atom
theoretical density: 6.71 g cm⁻³
total magnetic moment: 0.0 μB per cell
uncorrected energy: -9.28 eV/atom

---

No. 3
The following is a DFT calculation (GGA-PBE) of crystalline Mn4V2Cr at its relaxed geometry.

Structure (POSCAR):
```
Mn4V2Cr
1.0
4.176 0.000 0.000
0.000 4.176 0.000
0.000 0.000 12.205
Mn V Cr
8 4 2
Cartesian
0.000 0.000 2.343
0.000 0.000 9.862
0.000 2.088 0.000
0.000 2.088 6.103
2.088 0.000 0.000
2.088 0.000 6.103
2.088 2.088 3.760
2.088 2.088 8.445
0.000 0.000 4.667
0.000 0.000 7.538
2.088 2.088 1.436
2.088 2.088 10.769
0.000 0.000 0.000
2.088 2.088 6.103
```

Properties
space group: No. 139
D(E_F): 1.23 states/eV/atom
theoretical density: 5.83 g cm⁻³
total magnetic moment: 8.0 μB per cell
uncorrected energy: -8.35 eV/atom

---

No. 4
The following is a DFT calculation (GGA-PBE) of crystalline MnVCr4 at its relaxed geometry.

Structure (POSCAR):
```
MnVCr4
1.0
0.000 3.343 3.343
3.343 0.000 3.343
3.343 3.343 0.000
Mn V Cr
1 1 4
Cartesian
0.000 0.000 0.000
1.671 1.671 1.671
4.175 2.510 2.510
2.510 4.175 2.510
2.510 2.510 4.175
4.175 4.175 4.175
```

Properties
relative energy among the computed polymorphs: 0.00 eV/f.u.
space group: No. 216
D(E_F): 0.99 states/eV/atom
theoretical density: 6.98 g cm⁻³
total magnetic moment: 3.2 μB per cell
uncorrected energy: -9.33 eV/atom

---

No. 5
The following is a DFT calculation (GGA-PBE) of crystalline Mn2V3Cr at its relaxed geometry.

Structure (POSCAR):
```
Mn2V3Cr
1.0
2.888 0.000 0.000
0.000 2.888 0.000
0.000 0.000 8.675
Mn V Cr
2 3 1
Cartesian
0.000 0.000 1.430
0.000 0.000 7.245
1.444 1.444 0.000
1.444 1.444 2.879
1.444 1.444 5.796
0.000 0.000 4.337
```

Properties
space group: No. 123
D(E_F): 0.62 states/eV/atom
theoretical density: 7.22 g cm⁻³
total magnetic moment: 0.3 μB per cell
uncorrected energy: -9.44 eV/atom

---

No. 6
The following is a DFT calculation (GGA-PBE) of crystalline Y2MnVCr at its relaxed geometry.

Structure (POSCAR):
```
Y2MnVCr
1.0
5.293 0.000 0.000
0.000 5.293 0.000
0.000 0.000 4.116
Y Mn V Cr
2 1 1 1
Cartesian
0.000 2.647 0.000
2.647 0.000 0.000
0.000 0.000 2.058
0.000 0.000 0.000
2.647 2.647 2.058
```

Properties
space group: No. 123
D(E_F): 1.58 states/eV/atom
theoretical density: 4.83 g cm⁻³
total magnetic moment: 1.5 μB per cell
uncorrected energy: -6.98 eV/atom

---

No. 7
The following is a DFT calculation (GGA-PBE) of crystalline Mn2CrW at its relaxed geometry.

Structure (POSCAR):
```
Mn2CrW
1.0
3.036 0.000 0.000
0.000 4.195 0.000
0.000 0.000 8.000
Mn Cr W
4 2 2
Cartesian
0.000 0.000 0.000
0.000 2.098 1.860
1.518 0.000 1.860
1.518 2.098 0.000
0.000 0.000 3.724
1.518 2.098 3.724
0.000 2.098 5.885
1.518 0.000 5.885
```

Properties
space group: No. 35
D(E_F): 1.26 states/eV/atom
theoretical density: 11.27 g cm⁻³
total magnetic moment: 4.7 μB per cell
uncorrected energy: -10.06 eV/atom

---

No. 8
The following is a DFT calculation (GGA-PBE) of crystalline Mn2CrW at its relaxed geometry.

Structure (POSCAR):
```
Mn2CrW
1.0
2.593 0.000 0.000
0.000 4.042 0.000
-0.943 0.000 4.853
Mn Cr W
2 1 1
Cartesian
0.365 0.000 1.279
1.286 0.000 3.574
-0.471 2.021 2.427
1.297 2.021 0.000
```

Properties
space group: No. 10
D(E_F): 1.22 states/eV/atom
theoretical density: 11.28 g cm⁻³
total magnetic moment: 2.3 μB per cell
uncorrected energy: -10.10 eV/atom

---

No. 9
The following is a DFT calculation (GGA-PBE) of crystalline Mn2CrW at its relaxed geometry.

Structure (POSCAR):
```
Mn2CrW
1.0
5.901 0.000 0.000
0.000 5.901 0.000
0.000 0.000 5.901
Mn Cr W
8 4 4
Cartesian
0.000 0.000 0.000
0.000 2.951 2.951
1.475 1.475 1.475
1.475 4.426 4.426
2.951 0.000 2.951
2.951 2.951 0.000
4.426 1.475 4.426
4.426 4.426 1.475
1.475 1.475 4.426
1.475 4.426 1.475
4.426 1.475 1.475
4.426 4.426 4.426
0.000 0.000 2.951
0.000 2.951 0.000
2.951 0.000 0.000
2.951 2.951 2.951
```

Properties
space group: No. 216
D(E_F): 1.20 states/eV/atom
theoretical density: 11.17 g cm⁻³
total magnetic moment: 7.0 μB per cell
uncorrected energy: -10.14 eV/atom

---

No. 10
The following is a DFT calculation (GGA-PBE) of crystalline Mn2CrW at its relaxed geometry.

Structure (POSCAR):
```
Mn2CrW
1.0
3.045 0.000 0.000
0.000 4.218 0.000
0.000 0.000 7.980
Mn Cr W
4 2 2
Cartesian
0.000 0.000 1.866
0.000 0.000 6.114
1.523 2.109 1.866
1.523 2.109 6.114
0.000 2.109 0.000
1.523 0.000 0.000
0.000 2.109 3.990
1.523 0.000 3.990
```

Properties
space group: No. 65
D(E_F): 1.00 states/eV/atom
theoretical density: 11.20 g cm⁻³
total magnetic moment: 4.8 μB per cell
uncorrected energy: -10.08 eV/atom

---

No. 11
The following is a DFT calculation (GGA-PBE) of crystalline Mn2CrW at its relaxed geometry.

Structure (POSCAR):
```
Mn2CrW
1.0
2.998 0.000 0.000
0.000 4.172 0.000
0.000 0.000 8.113
Mn Cr W
4 2 2
Cartesian
0.000 0.000 1.975
0.000 0.000 6.138
1.499 2.086 2.081
1.499 2.086 6.032
0.000 2.086 4.057
1.499 0.000 0.000
0.000 2.086 0.000
1.499 0.000 4.057
```

Properties
space group: No. 71
D(E_F): 1.07 states/eV/atom
theoretical density: 11.31 g cm⁻³
total magnetic moment: 4.9 μB per cell
uncorrected energy: -10.12 eV/atom

---

No. 12
The following is a DFT calculation (GGA-PBE) of crystalline Mn3CrW at its relaxed geometry.

Structure (POSCAR):
```
Mn3CrW
1.0
4.126 0.000 0.000
0.000 4.126 0.000
0.000 0.000 4.126
Mn Cr W
3 1 1
Cartesian
0.000 0.000 2.063
0.000 2.063 0.000
2.063 0.000 0.000
0.000 0.000 0.000
2.063 2.063 2.063
```

Properties
space group: No. 221
D(E_F): 1.20 states/eV/atom
theoretical density: 9.47 g cm⁻³
total magnetic moment: 1.6 μB per cell
uncorrected energy: -8.80 eV/atom

---

No. 13
The following is a DFT calculation (GGA-PBE) of crystalline Mn2CrW at its relaxed geometry.

Structure (POSCAR):
```
Mn2CrW
1.0
2.980 0.000 0.000
0.000 2.980 0.000
0.000 0.000 5.789
Mn Cr W
2 1 1
Cartesian
0.000 0.000 0.000
1.490 1.490 1.484
1.490 1.490 4.472
0.000 0.000 2.885
```

Properties
space group: No. 99
D(E_F): 1.10 states/eV/atom
theoretical density: 11.17 g cm⁻³
total magnetic moment: 1.9 μB per cell
uncorrected energy: -10.13 eV/atom

---

Values for energy relative to the elements, eV per atom, ordered as above
0.062, -0.089, 0.866, 0.134, -0.220, 1.188, 0.171, 0.131, 0.093, 0.147, 0.106, 1.220, 0.102